[1]
Density functional theory data (GGA-PBEsol) for a relaxed Sc6Co16Si7 crystal. Values from VASP.

As for the mass density: 6.6 g/cm³.

The structure in Quantum ESPRESSO input format:
```
&SYSTEM
  ibrav = 0, nat = 29, ntyp = 3
/
ATOMIC_SPECIES
Sc 44.96 Sc.upf
Co 58.93 Co.upf
Si 28.09 Si.upf
CELL_PARAMETERS angstrom
0.000 5.623 5.623
5.623 0.000 5.623
5.623 5.623 0.000
ATOMIC_POSITIONS angstrom
Sc 5.623 5.623 2.385
Sc 5.623 2.385 5.623
Sc 8.860 5.623 5.623
Sc 2.385 5.623 5.623
Sc 5.623 8.860 5.623
Sc 5.623 5.623 8.860
Co 6.974 4.271 4.271
Co 1.955 1.955 1.955
Co 3.667 3.667 1.955
Co 3.667 1.955 3.667
Co 4.271 4.271 4.271
Co 6.974 6.974 4.271
Co 6.974 4.271 6.974
Co 1.955 3.667 3.667
Co 9.290 7.578 7.578
Co 4.271 6.974 4.271
Co 4.271 4.271 6.974
Co 6.974 6.974 6.974
Co 7.578 9.290 7.578
Co 7.578 7.578 9.290
Co 9.290 9.290 9.290
Co 4.271 6.974 6.974
Si 2.811 2.811 0.000
Si 2.811 0.000 2.811
Si 5.623 2.811 2.811
Si 0.000 2.811 2.811
Si 2.811 5.623 2.811
Si 2.811 2.811 5.623
Si 5.623 5.623 5.623
```

***

[2]
Density functional theory data (GGA-PBEsol) for a relaxed Sc2CoSi crystal. Values from VASP.

As for the mass density: 4.0 g/cm³.

The structure in Quantum ESPRESSO input format:
```
&SYSTEM
  ibrav = 0, nat = 4, ntyp = 3
/
ATOMIC_SPECIES
Sc 44.96 Sc.upf
Co 58.93 Co.upf
Si 28.09 Si.upf
CELL_PARAMETERS angstrom
1.547 0.893 8.940
-1.547 0.893 8.940
0.000 -1.787 8.940
ATOMIC_POSITIONS angstrom
Sc 0.000 0.000 2.709
Sc 0.000 0.000 24.112
Co 0.000 0.000 13.410
Si 0.000 0.000 0.000
```

***

no.,formation energy from raw total energies (eV per atom),magnetic moment (Bohr magnetons per cell),N(E_F) (states/eV per cell)
1,-0.707,4.71,21.9
2,0.211,0.00,2.9